Compound: Ba2CrPb
Source: Alexandria via LeMat-Bulk
Functional: PBE-GGA
Structure: optimized geometry

Unit cell a=6.272 b=6.272 c=6.272 alpha=130.05 beta=130.05 gamma=73.33
Last column: magnetic moment on the atom in μB.
Sites, in units of the cell vectors:
1 Ba 0.250 0.750 0.500  0.07
2 Ba 0.000 0.000 0.000  0.01
3 Cr 0.500 0.500 0.000  4.05
4 Pb 0.750 0.250 0.500  -0.06

Uncorrected energy (eV per atom): -4.090
Energy relative to the elements (eV per atom): 0.20
Crystal system: tetragonal
Space group: I-4m2